KGeOsO6, optimized geometry, DFT PBE; symmetry = P312, No. 149; M_tot = 0.56 μB/f.u.; DFT total energy = -6.511 eV per atom
1.0
5.1782 0.0000 0.0000
-2.5891 4.4845 0.0000
0.0000 0.0000 5.9828
K Ge Os O
1 1 1 6
Cartesian
0.0000 0.0000 0.0000 K
0.0000 2.9896 2.9914 Ge
2.5891 1.4948 2.9914 Os
2.0871 0.0173 1.9007 O
1.0586 1.7988 4.0821 O
3.0911 0.0173 4.0821 O
1.5605 2.6683 1.9007 O
4.1196 1.7988 1.9007 O
3.6177 2.6683 4.0821 O